VASP calculation (PBE) on an optimized crystal structure of TaTi3Ga2N.

a b c (Å): 4.106 3.964 7.490
angles (deg): 105.35 105.91 90.00
Fractional positions:
Ga  0.354  0.354  0.708
Ga  0.646  0.646  0.292
N  0.000  0.000  0.000
Ti  0.000  0.500  0.000
Ti  0.842  0.842  0.685
Ti  0.158  0.158  0.315
Ta  0.500  0.000  0.000

Results
- energy (eV/atom) = -7.75


VASP calculation (PBE) on an optimized crystal structure of KMgSe.

a b c (Å): 8.212 4.193 11.768
angles (deg): 90.00 120.38 90.00
Fractional positions:
Se  0.755  0.500  0.195
Se  0.245  0.000  0.305
Se  0.245  0.500  0.805
Se  0.755  0.000  0.695
Mg  0.050  0.000  0.649
Mg  0.950  0.500  0.851
Mg  0.950  0.000  0.351
Mg  0.050  0.500  0.149
K  0.642  0.000  0.931
K  0.642  0.500  0.431
K  0.358  0.000  0.069
K  0.358  0.500  0.569

Results
- energy above the lowest structure with this stoichiometry (meV per atom) = 0